A plane-wave DFT calculation with PBE was carried out for NpTiNbZn after structural relaxation.

Output
formation energy from the elements: 0.309 eV per atom
magnetic moment: 4.4 μB/cell
SG: F-43m, No. 216

Structure (CIF):
```
data_NpTiNbZn
_chemical_formula_sum 'Np1 Ti1 Nb1 Zn1'
_space_group_name_H-M_alt 'P 1'
_space_group_IT_number 1
_space_group_name_Hall 'P 1'
_cell_length_a 4.681
_cell_length_b 4.681
_cell_length_c 4.681
_cell_angle_alpha 60.00
_cell_angle_beta 60.00
_cell_angle_gamma 60.00
loop_
_atom_site_label
_atom_site_fract_x
_atom_site_fract_y
_atom_site_fract_z
_atom_site_occupancy
Np1 0.000 0.000 0.000 1
Nb1 0.750 0.750 0.750 1
Zn1 0.500 0.500 0.500 1
Ti1 0.250 0.250 0.250 1
```

A plane-wave DFT calculation with PBE was carried out for Tb2IrPd2 after structural relaxation.

Output
formation energy from the elements: -0.596 eV per atom
magnetic moment: 0.0 μB/cell
SG: Ibam, No. 72

Structure (CIF):
```
data_Tb2IrPd2
_chemical_formula_sum 'Tb4 Ir2 Pd4'
_space_group_name_H-M_alt 'P 1'
_space_group_IT_number 1
_space_group_name_Hall 'P 1'
_cell_length_a 5.656
_cell_length_b 6.271
_cell_length_c 7.423
_cell_angle_alpha 114.99
_cell_angle_beta 112.40
_cell_angle_gamma 90.00
loop_
_atom_site_label
_atom_site_fract_x
_atom_site_fract_y
_atom_site_fract_z
_atom_site_occupancy
Pd1 0.403 0.070 0.805 1
Tb1 0.660 0.435 0.320 1
Pd2 0.097 0.264 0.195 1
Pd3 0.597 0.930 0.195 1
Tb2 0.340 0.565 0.680 1
Ir1 0.750 0.500 0.000 1
Tb3 0.840 0.114 0.680 1
Tb4 0.160 0.886 0.320 1
Ir2 0.250 0.500 0.000 1
Pd4 0.903 0.736 0.805 1
```

A plane-wave DFT calculation with PBE was carried out for GdMg4Ti after structural relaxation.

Output
formation energy from the elements: 1.179 eV per atom
magnetic moment: 2.2 μB/cell
SG: F-43m, No. 216

Structure (CIF):
```
data_GdMg4Ti
_chemical_formula_sum 'Gd1 Mg4 Ti1'
_space_group_name_H-M_alt 'P 1'
_space_group_IT_number 1
_space_group_name_Hall 'P 1'
_cell_length_a 7.122
_cell_length_b 7.122
_cell_length_c 7.122
_cell_angle_alpha 60.00
_cell_angle_beta 60.00
_cell_angle_gamma 60.00
loop_
_atom_site_label
_atom_site_fract_x
_atom_site_fract_y
_atom_site_fract_z
_atom_site_occupancy
Gd1 0.250 0.250 0.250 1
Mg1 0.851 0.851 0.448 1
Mg2 0.851 0.851 0.851 1
Ti1 0.000 0.000 0.000 1
Mg3 0.448 0.851 0.851 1
Mg4 0.851 0.448 0.851 1
```